No. 1
# PBE-GGA ScNbNiAs, relaxed
# Offset from the most stable computed form = 0 meV per atom
data_ScNbNiAs
_chemical_formula_sum 'Sc4 Nb4 Ni4 As4'
_cell_length_a 6.3189
_cell_length_b 6.3189
_cell_length_c 6.3189
_cell_angle_alpha 90.00
_cell_angle_beta 90.00
_cell_angle_gamma 90.00
_symmetry_space_group_name_H-M 'P 1'
_symmetry_Int_Tables_number 1
loop_
_symmetry_equiv_pos_as_xyz
'x,y,z'
loop_
_atom_site_label
_atom_site_type_symbol
_atom_site_fract_x
_atom_site_fract_y
_atom_site_fract_z
Sc1 Sc 0.0000 0.0000 0.0000
Sc2 Sc 0.0000 0.5000 0.5000
Sc3 Sc 0.5000 0.0000 0.5000
Sc4 Sc 0.5000 0.5000 0.0000
Nb1 Nb 0.2500 0.2500 0.2500
Nb2 Nb 0.2500 0.7500 0.7500
Nb3 Nb 0.7500 0.2500 0.7500
Nb4 Nb 0.7500 0.7500 0.2500
Ni1 Ni 0.2500 0.2500 0.7500
Ni2 Ni 0.2500 0.7500 0.2500
Ni3 Ni 0.7500 0.2500 0.2500
Ni4 Ni 0.7500 0.7500 0.7500
As1 As 0.0000 0.0000 0.5000
As2 As 0.0000 0.5000 0.0000
As3 As 0.5000 0.0000 0.0000
As4 As 0.5000 0.5000 0.5000

***

No. 2
# PBE-GGA Ba2TlSnPd4, relaxed
# Total energy = -4.4437 eV per atom
data_Ba2TlSnPd4
_chemical_formula_sum 'Ba2 Tl1 Sn1 Pd4'
_cell_length_a 4.7109
_cell_length_b 4.7109
_cell_length_c 11.0712
_cell_angle_alpha 90.00
_cell_angle_beta 90.00
_cell_angle_gamma 120.00
_symmetry_space_group_name_H-M 'P 1'
_symmetry_Int_Tables_number 1
loop_
_symmetry_equiv_pos_as_xyz
'x,y,z'
loop_
_atom_site_label
_atom_site_type_symbol
_atom_site_fract_x
_atom_site_fract_y
_atom_site_fract_z
Ba1 Ba 0.3333 0.6667 0.2492
Ba2 Ba 0.6667 0.3333 0.7508
Tl1 Tl 0.0000 0.0000 0.5000
Sn1 Sn 0.0000 0.0000 0.0000
Pd1 Pd 0.3333 0.6667 0.5450
Pd2 Pd 0.3333 0.6667 0.9558
Pd3 Pd 0.6667 0.3333 0.0442
Pd4 Pd 0.6667 0.3333 0.4550

***

No. 3
# PBE-GGA ScPt2Au, relaxed
# DFT formation energy = -255 kJ/mol of formula units
data_ScPt2Au
_chemical_formula_sum 'Sc4 Pt8 Au4'
_cell_length_a 6.4841
_cell_length_b 6.4841
_cell_length_c 6.4841
_cell_angle_alpha 90.00
_cell_angle_beta 90.00
_cell_angle_gamma 90.00
_symmetry_space_group_name_H-M 'P 1'
_symmetry_Int_Tables_number 1
loop_
_symmetry_equiv_pos_as_xyz
'x,y,z'
loop_
_atom_site_label
_atom_site_type_symbol
_atom_site_fract_x
_atom_site_fract_y
_atom_site_fract_z
Sc1 Sc 0.0000 0.0000 0.0000
Sc2 Sc 0.0000 0.5000 0.5000
Sc3 Sc 0.5000 0.0000 0.5000
Sc4 Sc 0.5000 0.5000 0.0000
Pt1 Pt 0.0000 0.0000 0.5000
Pt2 Pt 0.0000 0.5000 0.0000
Pt3 Pt 0.2500 0.2500 0.7500
Pt4 Pt 0.2500 0.7500 0.2500
Pt5 Pt 0.5000 0.0000 0.0000
Pt6 Pt 0.5000 0.5000 0.5000
Pt7 Pt 0.7500 0.2500 0.2500
Pt8 Pt 0.7500 0.7500 0.7500
Au1 Au 0.2500 0.2500 0.2500
Au2 Au 0.2500 0.7500 0.7500
Au3 Au 0.7500 0.2500 0.7500
Au4 Au 0.7500 0.7500 0.2500

***

No. 4
# PBE-GGA NbTcIr, relaxed
# DFT formation energy = 94 kJ/mol of formula units
# Offset from the most stable computed form = 0 meV per atom
data_NbTcIr
_chemical_formula_sum 'Nb4 Tc4 Ir4'
_cell_length_a 6.0649
_cell_length_b 6.0649
_cell_length_c 6.0649
_cell_angle_alpha 90.00
_cell_angle_beta 90.00
_cell_angle_gamma 90.00
_symmetry_space_group_name_H-M 'P 1'
_symmetry_Int_Tables_number 1
loop_
_symmetry_equiv_pos_as_xyz
'x,y,z'
loop_
_atom_site_label
_atom_site_type_symbol
_atom_site_fract_x
_atom_site_fract_y
_atom_site_fract_z
Nb1 Nb 0.0000 0.0000 0.0000
Nb2 Nb 0.0000 0.5000 0.5000
Nb3 Nb 0.5000 0.0000 0.5000
Nb4 Nb 0.5000 0.5000 0.0000
Tc1 Tc 0.0000 0.0000 0.5000
Tc2 Tc 0.0000 0.5000 0.0000
Tc3 Tc 0.5000 0.0000 0.0000
Tc4 Tc 0.5000 0.5000 0.5000
Ir1 Ir 0.2500 0.2500 0.2500
Ir2 Ir 0.2500 0.7500 0.7500
Ir3 Ir 0.7500 0.2500 0.7500
Ir4 Ir 0.7500 0.7500 0.2500

***

No. 5
# PBE-GGA KSmBi, relaxed
# Total energy = -3.2621 eV per atom
data_KSmBi
_chemical_formula_sum 'K4 Sm4 Bi4'
_cell_length_a 7.7678
_cell_length_b 7.7678
_cell_length_c 7.7678
_cell_angle_alpha 90.00
_cell_angle_beta 90.00
_cell_angle_gamma 90.00
_symmetry_space_group_name_H-M 'P 1'
_symmetry_Int_Tables_number 1
loop_
_symmetry_equiv_pos_as_xyz
'x,y,z'
loop_
_atom_site_label
_atom_site_type_symbol
_atom_site_fract_x
_atom_site_fract_y
_atom_site_fract_z
K1 K 0.0000 0.0000 0.0000
K2 K 0.0000 0.5000 0.5000
K3 K 0.5000 0.0000 0.5000
K4 K 0.5000 0.5000 0.0000
Sm1 Sm 0.2500 0.2500 0.7500
Sm2 Sm 0.2500 0.7500 0.2500
Sm3 Sm 0.7500 0.2500 0.2500
Sm4 Sm 0.7500 0.7500 0.7500
Bi1 Bi 0.0000 0.0000 0.5000
Bi2 Bi 0.0000 0.5000 0.0000
Bi3 Bi 0.5000 0.0000 0.0000
Bi4 Bi 0.5000 0.5000 0.5000

***

No. 6
# PBE-GGA TaSbIr2, relaxed
# Total energy = -8.2918 eV per atom
data_TaSbIr2
_chemical_formula_sum 'Ta4 Sb4 Ir8'
_cell_length_a 6.4785
_cell_length_b 6.4785
_cell_length_c 6.4785
_cell_angle_alpha 90.00
_cell_angle_beta 90.00
_cell_angle_gamma 90.00
_symmetry_space_group_name_H-M 'P 1'
_symmetry_Int_Tables_number 1
loop_
_symmetry_equiv_pos_as_xyz
'x,y,z'
loop_
_atom_site_label
_atom_site_type_symbol
_atom_site_fract_x
_atom_site_fract_y
_atom_site_fract_z
Ta1 Ta 0.0000 0.0000 0.0000
Ta2 Ta 0.0000 0.5000 0.5000
Ta3 Ta 0.5000 0.0000 0.5000
Ta4 Ta 0.5000 0.5000 0.0000
Sb1 Sb 0.2500 0.2500 0.7500
Sb2 Sb 0.2500 0.7500 0.2500
Sb3 Sb 0.7500 0.2500 0.2500
Sb4 Sb 0.7500 0.7500 0.7500
Ir1 Ir 0.0000 0.0000 0.5000
Ir2 Ir 0.0000 0.5000 0.0000
Ir3 Ir 0.2500 0.2500 0.2500
Ir4 Ir 0.2500 0.7500 0.7500
Ir5 Ir 0.5000 0.0000 0.0000
Ir6 Ir 0.5000 0.5000 0.5000
Ir7 Ir 0.7500 0.2500 0.7500
Ir8 Ir 0.7500 0.7500 0.2500

***

No. 7
# PBE-GGA BeCdSO, relaxed
# Offset from the most stable computed form = 237 meV per atom
data_BeCdSO
_chemical_formula_sum 'Be4 Cd4 S4 O4'
_cell_length_a 6.1058
_cell_length_b 6.7244
_cell_length_c 5.8326
_cell_angle_alpha 90.00
_cell_angle_beta 90.00
_cell_angle_gamma 90.00
_symmetry_space_group_name_H-M 'P 1'
_symmetry_Int_Tables_number 1
loop_
_symmetry_equiv_pos_as_xyz
'x,y,z'
loop_
_atom_site_label
_atom_site_type_symbol
_atom_site_fract_x
_atom_site_fract_y
_atom_site_fract_z
Be1 Be 0.0648 0.1474 0.0000
Be2 Be 0.4352 0.1474 0.5000
Be3 Be 0.5648 0.8526 0.0000
Be4 Be 0.9352 0.8526 0.5000
Cd1 Cd 0.1020 0.6368 0.9356
Cd2 Cd 0.3980 0.6368 0.4356
Cd3 Cd 0.6020 0.3632 0.9356
Cd4 Cd 0.8980 0.3632 0.4356
S1 S 0.1137 0.1030 0.6392
S2 S 0.3863 0.1030 0.1392
S3 S 0.6137 0.8970 0.6392
S4 S 0.8863 0.8970 0.1392
O1 O 0.0494 0.6492 0.5567
O2 O 0.4506 0.6492 0.0567
O3 O 0.5494 0.3508 0.5567
O4 O 0.9506 0.3508 0.0567

***

No. 8
# PBE-GGA Zr4TlB2Pb, relaxed
# Total energy = -7.1532 eV per atom
data_Zr4TlB2Pb
_chemical_formula_sum 'Zr4 Tl1 B2 Pb1'
_cell_length_a 3.4820
_cell_length_b 3.4820
_cell_length_c 15.2825
_cell_angle_alpha 90.00
_cell_angle_beta 90.00
_cell_angle_gamma 120.00
_symmetry_space_group_name_H-M 'P 1'
_symmetry_Int_Tables_number 1
loop_
_symmetry_equiv_pos_as_xyz
'x,y,z'
loop_
_atom_site_label
_atom_site_type_symbol
_atom_site_fract_x
_atom_site_fract_y
_atom_site_fract_z
Zr1 Zr 0.0000 0.0000 0.1661
Zr2 Zr 0.0000 0.0000 0.8339
Zr3 Zr 0.3333 0.6667 0.3343
Zr4 Zr 0.3333 0.6667 0.6657
Tl1 Tl 0.3333 0.6667 0.0000
B1 B 0.6667 0.3333 0.2503
B2 B 0.6667 0.3333 0.7497
Pb1 Pb 0.0000 0.0000 0.5000

***

No. 9
# PBE-GGA RbTa2, relaxed
# Offset from the most stable computed form = 0 meV per atom
data_RbTa2
_chemical_formula_sum 'Rb2 Ta4'
_cell_length_a 5.9807
_cell_length_b 5.9807
_cell_length_c 5.9807
_cell_angle_alpha 60.00
_cell_angle_beta 60.00
_cell_angle_gamma 60.00
_symmetry_space_group_name_H-M 'P 1'
_symmetry_Int_Tables_number 1
loop_
_symmetry_equiv_pos_as_xyz
'x,y,z'
loop_
_atom_site_label
_atom_site_type_symbol
_atom_site_fract_x
_atom_site_fract_y
_atom_site_fract_z
Rb1 Rb 0.1250 0.1250 0.1250
Rb2 Rb 0.8750 0.8750 0.8750
Ta1 Ta 0.0000 0.5000 0.5000
Ta2 Ta 0.5000 0.0000 0.5000
Ta3 Ta 0.5000 0.5000 0.0000
Ta4 Ta 0.5000 0.5000 0.5000

***

No. 10
# PBE-GGA Ta4Sb2CN, relaxed
# Total energy = -9.4586 eV per atom
data_Ta4Sb2CN
_chemical_formula_sum 'Ta4 Sb2 C1 N1'
_cell_length_a 3.3605
_cell_length_b 3.3605
_cell_length_c 12.9661
_cell_angle_alpha 90.00
_cell_angle_beta 90.00
_cell_angle_gamma 120.00
_symmetry_space_group_name_H-M 'P 1'
_symmetry_Int_Tables_number 1
loop_
_symmetry_equiv_pos_as_xyz
'x,y,z'
loop_
_atom_site_label
_atom_site_type_symbol
_atom_site_fract_x
_atom_site_fract_y
_atom_site_fract_z
Ta1 Ta 0.3333 0.6667 0.0845
Ta2 Ta 0.3333 0.6667 0.4187
Ta3 Ta 0.6667 0.3333 0.5813
Ta4 Ta 0.6667 0.3333 0.9155
Sb1 Sb 0.3333 0.6667 0.7475
Sb2 Sb 0.6667 0.3333 0.2525
C1 C 0.0000 0.0000 0.0000
N1 N 0.0000 0.0000 0.5000

***

No. 11
# PBE-GGA Dy3Si3Ni2, relaxed
# Total energy = -5.9740 eV per atom
data_Dy3Si3Ni2
_chemical_formula_sum 'Dy6 Si6 Ni4'
_cell_length_a 5.4716
_cell_length_b 5.4716
_cell_length_c 13.8754
_cell_angle_alpha 90.00
_cell_angle_beta 90.00
_cell_angle_gamma 135.45
_symmetry_space_group_name_H-M 'P 1'
_symmetry_Int_Tables_number 1
loop_
_symmetry_equiv_pos_as_xyz
'x,y,z'
loop_
_atom_site_label
_atom_site_type_symbol
_atom_site_fract_x
_atom_site_fract_y
_atom_site_fract_z
Dy1 Dy 0.0894 0.9106 0.6097
Dy2 Dy 0.0894 0.9106 0.8903
Dy3 Dy 0.3715 0.6285 0.7500
Dy4 Dy 0.6285 0.3715 0.2500
Dy5 Dy 0.9106 0.0894 0.1097
Dy6 Dy 0.9106 0.0894 0.3903
Si1 Si 0.3275 0.6725 0.2500
Si2 Si 0.3809 0.6191 0.5379
Si3 Si 0.3809 0.6191 0.9621
Si4 Si 0.6191 0.3809 0.0379
Si5 Si 0.6191 0.3809 0.4621
Si6 Si 0.6725 0.3275 0.7500
Ni1 Ni 0.2024 0.7976 0.0960
Ni2 Ni 0.2024 0.7976 0.4040
Ni3 Ni 0.7976 0.2024 0.5960
Ni4 Ni 0.7976 0.2024 0.9040

***

No. 12
# PBE-GGA Pm2Y2O5, relaxed
# Offset from the most stable computed form = 120 meV per atom
data_Pm2Y2O5
_chemical_formula_sum 'Pm2 Y2 O5'
_cell_length_a 4.3388
_cell_length_b 4.3388
_cell_length_c 7.6353
_cell_angle_alpha 90.00
_cell_angle_beta 90.00
_cell_angle_gamma 90.00
_symmetry_space_group_name_H-M 'P 1'
_symmetry_Int_Tables_number 1
loop_
_symmetry_equiv_pos_as_xyz
'x,y,z'
loop_
_atom_site_label
_atom_site_type_symbol
_atom_site_fract_x
_atom_site_fract_y
_atom_site_fract_z
Pm1 Pm 0.0000 0.0000 0.0000
Pm2 Pm 0.0000 0.0000 0.5000
Y1 Y 0.5000 0.5000 0.2255
Y2 Y 0.5000 0.5000 0.7745
O1 O 0.0000 0.5000 0.2277
O2 O 0.0000 0.5000 0.7723
O3 O 0.5000 0.0000 0.2277
O4 O 0.5000 0.0000 0.7723
O5 O 0.5000 0.5000 0.5000